(1)
VASP calculation (PBE) on a relaxed structure of Sc2AgAu3.

abc: 3.5561 3.5561 8.8574
angles: 90.00 90.00 90.00
Last column: nearest neighbours and their distance in Å.
Sites, in units of the cell vectors:
Au1 0.0000 0.0000 0.1587  5 Sc 2.85-3.01, 1 Ag 2.89, 4 Au 2.98
Au2 0.5000 0.5000 0.6659  1 Au 2.90, 4 Ag 2.92, 5 Sc 2.92-3.01
Au3 0.5000 0.5000 0.3385  5 Sc 2.89-2.94, 5 Au 2.90-2.98
Sc1 0.0000 0.0000 0.4983  9 Au 2.89-3.01, 1 Ag 2.96
Sc2 0.5000 0.5000 0.0061  6 Au 2.85-3.01, 4 Ag 2.95
Ag1 0.0000 0.0000 0.8325  5 Au 2.89-2.92, 5 Sc 2.95-2.96

## Properties
Energy relative to the elements: -0.710 eV/atom
Magnetization: 0.0 μB per formula unit

(2)
VASP calculation (PBE) on a relaxed structure of ScAgAu.

abc: 4.5550 4.5550 4.5550
angles: 60.00 60.00 60.00
Last column: nearest neighbours and their distance in Å.
Sites, in units of the cell vectors:
Sc1 0.7500 0.7500 0.7500  4 Au 2.79
Au1 0.0000 0.0000 0.0000  4 Ag 2.79, 4 Sc 2.79
Ag1 0.2500 0.2500 0.2500  4 Au 2.79

## Properties
Energy relative to the elements: -0.320 eV/atom
Magnetization: 0.0 μB per formula unit

(3)
VASP calculation (PBE) on a relaxed structure of ScAgAu.

abc: 5.0968 5.0968 5.0968
angles: 139.08 139.08 59.25
Last column: nearest neighbours and their distance in Å.
Sites, in units of the cell vectors:
Ag1 0.6164 0.6164 0.0000  5 Au 2.91-2.94, 5 Sc 2.92-2.94
Au1 0.2881 0.2881 0.0000  5 Sc 2.88-3.04, 5 Ag 2.91-2.94
Sc1 0.9455 0.9455 0.0000  5 Au 2.88-3.04, 5 Ag 2.92-2.94

## Properties
Energy relative to the elements: -0.593 eV/atom
Magnetization: 0.0 μB per formula unit

(4)
VASP calculation (PBE) on a relaxed structure of ScAgAu3.

abc: 5.1079 5.1079 6.6105
angles: 129.84 129.84 47.35
Last column: nearest neighbours and their distance in Å.
Sites, in units of the cell vectors:
Au1 0.7972 0.7972 0.4034  3 Ag 2.91-2.98, 3 Sc 2.92-2.95, 6 Au 2.92-2.99
Au2 0.3988 0.3988 0.1907  3 Sc 2.92-2.94, 6 Au 2.92-3.05, 3 Ag 2.92-2.96
Au3 0.6001 0.6001 0.8035  3 Sc 2.89-3.03, 6 Au 2.93-3.05, 3 Ag 2.93-2.99
Sc1 0.0070 0.0070 0.0037  9 Au 2.89-3.03, 3 Ag 2.97-2.99
Ag1 0.1969 0.1969 0.5986  9 Au 2.91-2.99, 3 Sc 2.97-2.99

## Properties
Energy relative to the elements: -0.500 eV/atom
Magnetization: 0.0 μB per formula unit